# NaScOsO

An optimized crystal structure of NaScOsO (PBE-GGA, Alexandria).

The calculation puts the polymorph energy (0 for the lowest one) at 0.0000 eV per atom. As for the total energy: -7.082 eV per atom.

The structure belongs to space group R3m (No. 160, hexagonal axes); the cell edges are 3.0221, 3.0221 and 22.4460 Å and the angles 90.00°, 90.00° and 120.00°. The distinct sites, in fractional coordinates, are Na at (0.0000, 0.0000, 0.0000), Sc at (0.0000, 0.0000, 0.5418), Os at (0.0000, 0.0000, 0.7798) and O at (0.0000, 0.0000, 0.2596).

=====

# NaScOsO

An optimized crystal structure of NaScOsO (PBE-GGA, Alexandria).

The calculation puts the polymorph energy (0 for the lowest one) at 0.4046 eV per atom. As for the total energy: -6.677 eV per atom.

The structure belongs to space group Amm2 (No. 38); the cell edges are 2.771, 4.147 and 10.332 Å and the angles 90.00°, 90.00° and 90.00°. The distinct sites, in fractional coordinates, are Na at (0.000, 0.000, 0.000), Sc at (0.000, 0.000, 0.693), Os at (0.500, 0.000, 0.330) and O at (0.500, 0.000, 0.534).

=====

# Na2ScOsO6

An optimized crystal structure of Na2ScOsO6 (PBE-GGA, Alexandria).

As for the total energy: -6.880 eV per atom.

The structure belongs to space group P2_1/c (No. 14); the cell edges are 5.505, 5.559 and 9.579 Å and the angles 90.00°, 124.99° and 90.00°. The distinct sites, in fractional coordinates, are Na at (0.247, 0.027, 0.250), Sc at (0.500, 0.000, 0.000), Os at (0.000, 0.000, 0.500), O at (0.162, 0.223, 0.967), O at (0.246, 0.698, 0.968) and O at (0.301, 0.013, 0.737).

=====

Volume (Å³/cell)
178, 119, 240
Energy relative to the elements, uncorrected (eV/atom)
-1.12, -0.72, -1.89
N(E_F) (states/eV per cell)
4.90, 4.22, 8.04